Entry 1:
First-principles (PBE) data for crystalline Ac2PuP3Pt12 at its relaxed geometry, as listed in Alexandria via LeMat-Bulk.

extended XYZ file:
```
18
Lattice="4.1515 2.3969 6.4055 -4.1515 2.3969 6.4055 0.0000 -4.7938 6.4055" Properties=species:S:1:pos:R:3 pbc="T T T"
Ac 0.0000 0.0000 2.0208
Ac 0.0000 0.0000 17.1956
Pu 0.0000 0.0000 9.6082
P -2.0758 -1.1984 6.4055
P -2.0758 1.1984 12.8109
P 0.0000 2.3969 6.4055
Pt -2.1895 -1.2641 8.7357
Pt 0.0000 -2.0899 5.9449
Pt -1.8099 1.0449 5.9449
Pt 0.0000 -2.5283 10.4806
Pt -2.1895 1.2641 10.4806
Pt -1.8099 -1.0449 13.2715
Pt 1.8099 1.0450 5.9449
Pt 2.1895 -1.2641 8.7357
Pt 0.0000 2.5283 8.7357
Pt 1.8099 -1.0450 13.2715
Pt 0.0000 2.0899 13.2715
Pt 2.1895 1.2641 10.4806
```

## Properties
As for the energy of formation from the pure elements: -8.3 eV per formula unit. Its total magnetic moment is 4.5 Bohr magnetons per cell. The density of states at the Fermi level comes out at 0.911 states/eV per atom.

=====

Entry 2:
First-principles (PBE) data for crystalline Mg3Br at its relaxed geometry, as listed in Alexandria via LeMat-Bulk.

extended XYZ file:
```
8
Lattice="6.2157 0.0000 0.0000 -3.1079 5.3830 0.0000 0.0000 0.0000 6.4756" Properties=species:S:1:pos:R:3 pbc="T T T"
Mg 0.0000 1.7852 1.6189
Mg -1.5619 4.4904 1.6189
Mg 1.5460 0.8926 4.8567
Mg 1.5619 4.4904 1.6189
Mg 4.6697 0.8926 4.8567
Mg 3.1079 3.5978 4.8567
Br 0.0000 3.5887 4.8567
Br 3.1079 1.7943 1.6189
```

## Properties
Its total magnetic moment is 0.0 Bohr magnetons per cell. Its formation energy (no corrections) is -0.051 eV per atom. The density of states at the Fermi level comes out at 0.562 states/eV per atom.